1.
The following is a PBE-GGA calculation of a relaxed RuPbBr2 crystal, from the Alexandria database.

Final energy, eV/f.u.: -14.209
Size of the total moment, μB/cell: 4.50
Formation energy without anion corrections, eV/atom: 0.530
Density of states at the Fermi level, states/eV per atom: 0.99
Calculated volume, Å³ per cell: 193

```
8
Lattice="7.285 0.000 0.000 0.000 7.294 0.000 0.000 0.000 3.632" Properties=species:S:1:pos:R:3 pbc="T T T"
Ru 0.000 0.000 0.000
Ru 3.642 3.647 0.000
Pb 0.000 3.647 0.000
Pb 3.642 0.000 0.000
Br 1.821 1.824 1.816
Br 1.821 5.471 1.816
Br 5.464 1.824 1.816
Br 5.464 5.471 1.816
```

2.
The following is a PBE-GGA calculation of a relaxed Mg2Ag8Sn3 crystal, from the Alexandria database.

Final energy, eV/f.u.: -37.564
Size of the total moment, μB/cell: 0.00
Density of states at the Fermi level, states/eV per atom: 0.31
DFT formation energy, eV/atom: 0.03
Calculated volume, Å³ per cell: 278

```
13
Lattice="2.769 1.599 10.450 -2.769 1.599 10.450 0.000 -3.198 10.450" Properties=species:S:1:pos:R:3 pbc="T T T"
Mg 0.000 0.000 4.373
Mg 0.000 0.000 26.977
Ag 0.000 0.000 7.063
Ag 0.000 -1.601 12.512
Ag -1.386 0.800 12.512
Ag -1.386 -0.800 18.837
Ag 1.386 0.800 12.512
Ag 1.386 -0.800 18.837
Ag 0.000 1.601 18.837
Ag 0.000 0.000 24.286
Sn 0.000 0.000 9.941
Sn 0.000 0.000 15.675
Sn 0.000 0.000 21.409
```